First-principles (GGA-PBE) data for a relaxed structure of La2Tb3HoSe6, as listed in Alexandria.

abc: 18.1445 4.1356 8.3923
angles: 90.00 103.56 90.00
Closest atoms and distances in Å follow each position.
Space group C2/m (No. 12)
One atom of each set of equivalent atoms:
La: 0.1667 0.0000 0.3342 [4 per cell]  6 Se 3.01-3.03
Tb: 0.0000 0.5000 0.5000 [2 per cell]  6 Se 2.87-2.96
Tb: 0.1701 0.0000 0.8343 [4 per cell]  6 Se 2.88-2.93
Ho: 0.0000 0.5000 0.0000 [2 per cell]  6 Se 2.89-2.93
Se: 0.0052 0.0000 0.7556 [4 per cell]  3 Tb 2.91-2.96, 2 Ho 2.93, 1 La 3.03
Se: 0.1626 0.5000 0.5929 [4 per cell]  3 Tb 2.87-2.88, 3 La 3.01
Se: 0.1639 0.5000 0.0706 [4 per cell]  3 Tb 2.89-2.93, 1 Ho 2.89, 2 La 3.02

Output
ΔE_f (raw) ... -177 kJ per mole of atoms
Crystal system ... monoclinic